# UMoP2Ru | Alexandria via LeMat-Bulk | PBE-GGA | relaxed
data_UMoP2Ru
_chemical_formula_sum 'U1 Mo1 P2 Ru1'
_space_group_name_H-M_alt 'P 1'
_space_group_IT_number 1
_cell_length_a 4.148
_cell_length_b 4.148
_cell_length_c 5.579
_cell_angle_alpha 111.83
_cell_angle_beta 111.83
_cell_angle_gamma 90.00
loop_
_space_group_symop_operation_xyz
'x,y,z'
loop_
_atom_site_label
_atom_site_type_symbol
_atom_site_fract_x
_atom_site_fract_y
_atom_site_fract_z
_atom_site_occupancy
U1 U 0.000 0.000 0.000 1
Mo1 Mo 0.250 0.750 0.500 1
P1 P 0.624 0.624 0.248 1
P2 P 0.376 0.376 0.752 1
Ru1 Ru 0.750 0.250 0.500 1
# total moment = 1.6 μB/f.u.
# DFT formation energy = -3.127 eV/f.u.